Below is crystalline Zr2ReSe at its relaxed geometry, with properties calculated at the PBE level.

Mass density, g/cm³: 9.7
Raw formation energy, eV per atom: -0.543
Raw total energy, eV for the cell shown: -35.2

Cell: 3.3315 3.3356 6.9152 Å, 90.00 90.09 90.00°
With the nearest neighbours (Å) after each atom.
Space group P2/m (No. 10)
Symmetry-distinct sites (fractional):
1 Zr 0.0010 0.0000 0.2307 x2  4 Re 2.85, 4 Se 3.00-3.01
2 Re 0.5000 0.5000 0.0000 x1  8 Zr 2.85
3 Se 0.5000 0.5000 0.5000 x1  8 Zr 3.00-3.01, 4 Se 3.33-3.34

---

Below is crystalline ZrReSe4 at its relaxed geometry, with properties calculated at the PBE level.

Mass density, g/cm³: 8.5
Raw formation energy, eV per atom: 1.021
Raw total energy, eV for the cell shown: -115.2

Cell: 7.7305 7.7305 7.7305 Å, 90.00 90.00 90.00°
With the nearest neighbours (Å) after each atom.
Space group F-43m (No. 216)
Symmetry-distinct sites (fractional):
1 Zr 0.0000 0.0000 0.0000 x4  12 Se 3.21, 4 Re 3.35
2 Re 0.2500 0.2500 0.7500 x4  12 Se 3.20, 4 Zr 3.35
3 Se 0.1248 0.1248 0.3752 x16  6 Se 2.73-2.74

---

Below is crystalline Zr2ReSe at its relaxed geometry, with properties calculated at the PBE level.

Mass density, g/cm³: 6.7
Raw formation energy, eV per atom: 0.375
Raw total energy, eV for the cell shown: -126.1

Cell: 6.0490 6.0490 12.1751 Å, 90.00 90.00 90.00°
With the nearest neighbours (Å) after each atom.
Space group I-42d (No. 122)
Symmetry-distinct sites (fractional):
1 Zr 0.2276 0.2500 0.1250 x8  2 Re 2.55, 2 Se 2.71
2 Re 0.0000 0.0000 0.0000 x4  4 Zr 2.55
3 Se 0.0000 0.0000 0.5000 x4  4 Zr 2.71

---

Below is crystalline Zr2ReSe at its relaxed geometry, with properties calculated at the PBE level.

Mass density, g/cm³: 9.8
Raw formation energy, eV per atom: -0.173
Raw total energy, eV for the cell shown: -67.4

Cell: 4.4610 4.4610 7.5983 Å, 90.00 90.00 90.00°
With the nearest neighbours (Å) after each atom.
Space group I4/mmm (No. 139)
Symmetry-distinct sites (fractional):
1 Zr 0.0000 0.5000 0.2500 x4  4 Se 2.93, 4 Re 2.93, 4 Zr 3.15
2 Re 0.0000 0.0000 0.0000 x2  8 Zr 2.93, 4 Se 3.15
3 Se 0.0000 0.0000 0.5000 x2  8 Zr 2.93, 4 Re 3.15

---

Below is crystalline Zr2ReSe at its relaxed geometry, with properties calculated at the PBE level.

Mass density, g/cm³: 10.0
Raw formation energy, eV per atom: 0.182
Raw total energy, eV for the cell shown: -129.2

Cell: 6.6757 6.6757 6.6757 Å, 90.00 90.00 90.00°
With the nearest neighbours (Å) after each atom.
Space group F-43m (No. 216)
Symmetry-distinct sites (fractional):
1 Zr 0.0000 0.0000 0.0000 x4  4 Zr 2.89, 4 Re 2.89
2 Zr 0.2500 0.2500 0.2500 x4  4 Zr 2.89, 4 Se 2.89
3 Re 0.2500 0.2500 0.7500 x4  4 Zr 2.89, 4 Se 2.89
4 Se 0.0000 0.0000 0.5000 x4  4 Zr 2.89, 4 Re 2.89

---

Below is crystalline Zr2ReSe at its relaxed geometry, with properties calculated at the PBE level.

Mass density, g/cm³: 10.0
Raw formation energy, eV per atom: -0.379
Raw total energy, eV for the cell shown: -69.1

Cell: 6.0661 7.4158 3.3189 Å, 90.00 90.22 90.00°
With the nearest neighbours (Å) after each atom.
Space group C2/m (No. 12)
Symmetry-distinct sites (fractional):
1 Zr 0.2500 0.2500 0.0000 x4  4 Se 2.91-2.92, 4 Re 2.91-2.92, 2 Zr 3.03
2 Re 0.0000 0.0000 0.5000 x2  8 Zr 2.91-2.92, 2 Se 3.03
3 Se 0.0000 0.5000 0.5000 x2  8 Zr 2.91-2.92, 2 Re 3.03

---

Below is crystalline Zr2ReSe at its relaxed geometry, with properties calculated at the PBE level.

Mass density, g/cm³: 9.6
Raw formation energy, eV per atom: -0.014
Raw total energy, eV for the cell shown: -33.1

Cell: 3.2446 3.2446 7.3664 Å, 90.00 90.00 90.00°
With the nearest neighbours (Å) after each atom.
Space group P4mm (No. 99)
Symmetry-distinct sites (fractional):
1 Zr 0.0000 0.0000 0.0000 x1  4 Se 3.07, 8 Zr 3.19-3.24, 1 Re 3.41
2 Zr 0.5000 0.5000 0.3000 x1  4 Re 2.89, 1 Se 3.11, 4 Zr 3.19
3 Re 0.0000 0.0000 0.5377 x1  4 Se 2.67, 4 Zr 2.89
4 Se 0.5000 0.5000 0.7228 x1  4 Re 2.67

---

Below is crystalline Zr2ReSe at its relaxed geometry, with properties calculated at the PBE level.

Mass density, g/cm³: 9.3
Raw formation energy, eV per atom: -0.469
Raw total energy, eV for the cell shown: -104.7

Cell: 3.4486 3.4486 23.3987 Å, 90.00 90.00 120.00°
With the nearest neighbours (Å) after each atom.
Space group R-3m (No. 166, hexagonal axes)
Symmetry-distinct sites (fractional):
1 Zr 0.0000 0.0000 0.2490 x6  3 Re 2.77, 3 Se 2.80
2 Re 0.0000 0.0000 0.5000 x3  6 Zr 2.77
3 Se 0.0000 0.0000 0.0000 x3  6 Zr 2.80

---

Below is crystalline ZrRe3Se at its relaxed geometry, with properties calculated at the PBE level.

Excess energy over the best structure of this formula in the dataset, meV per atom: 1685.2
Mass density, g/cm³: 10.7
Raw formation energy, eV per atom: 2.797
Raw total energy, eV for the cell shown: -35.4

Cell: 4.8415 4.8415 4.8415 Å, 90.00 90.00 90.00°
With the nearest neighbours (Å) after each atom.
Space group Pm-3m (No. 221)
Symmetry-distinct sites (fractional):
1 Zr 0.0000 0.0000 0.0000 x1  6 Re 2.42
2 Re 0.0000 0.0000 0.5000 x3  2 Zr 2.42
3 Se 0.5000 0.5000 0.5000 x1  12 Re 3.42

---

Below is crystalline Zr2ReSe at its relaxed geometry, with properties calculated at the PBE level.

Mass density, g/cm³: 9.7
Raw formation energy, eV per atom: -0.165
Raw total energy, eV for the cell shown: -67.4

Cell: 3.7161 5.0756 8.1573 Å, 90.00 90.00 90.00°
With the nearest neighbours (Å) after each atom.
Space group Immm (No. 71)
Symmetry-distinct sites (fractional):
1 Zr 0.0000 0.0000 0.2475 x4  2 Se 2.74, 2 Re 2.77
2 Re 0.0000 0.5000 0.0000 x2  4 Zr 2.77
3 Se 0.0000 0.5000 0.5000 x2  4 Zr 2.74

---

Below is crystalline Zr2ReSe at its relaxed geometry, with properties calculated at the PBE level.

Mass density, g/cm³: 9.8
Raw formation energy, eV per atom: -0.327
Raw total energy, eV for the cell shown: -34.3

Cell: 3.3445 4.6046 4.9041 Å, 90.00 90.00 90.00°
With the nearest neighbours (Å) after each atom.
Space group Pmmm (No. 47)
Symmetry-distinct sites (fractional):
1 Zr 0.0000 0.0000 0.0000 x1  4 Se 2.85, 4 Re 2.97
2 Zr 0.0000 0.5000 0.5000 x1  4 Re 2.85, 4 Se 2.97
3 Re 0.5000 0.0000 0.5000 x1  8 Zr 2.85-2.97
4 Se 0.5000 0.5000 0.0000 x1  8 Zr 2.85-2.97

---

Below is crystalline ZrRe4Se8 at its relaxed geometry, with properties calculated at the PBE level.

Mass density, g/cm³: 8.7
Raw formation energy, eV per atom: -0.024
Raw total energy, eV for the cell shown: -259.6

Cell: 7.4642 7.4642 17.4617 Å, 90.00 90.00 120.00°
With the nearest neighbours (Å) after each atom.
Space group R-3m (No. 166, hexagonal axes)
Symmetry-distinct sites (fractional):
1 Zr 0.0000 0.0000 0.0000 x3  6 Se 2.68
2 Re 0.0000 0.0000 0.5000 x3  6 Se 2.52
3 Re 0.0000 0.5000 0.5000 x9  6 Se 2.57-2.59
4 Se 0.0000 0.0000 0.2465 x6  3 Re 2.57
5 Se 0.0082 0.5041 0.2465 x18  3 Re 2.52-2.59, 1 Zr 2.68

---

Below is crystalline Re3Si at its relaxed geometry, with properties calculated at the PBE level.

Excess energy over the best structure of this formula in the dataset, meV per atom: 238.3
Mass density, g/cm³: 16.9
Raw formation energy, eV per atom: 0.136
Raw total energy, eV for the cell shown: -42.2

Cell: 4.3937 4.3937 2.9816 Å, 90.00 90.00 90.00°
With the nearest neighbours (Å) after each atom.
Space group P4/mmm (No. 123)
Symmetry-distinct sites (fractional):
1 Re 0.0000 0.0000 0.0000 x1  8 Re 2.65
2 Re 0.0000 0.5000 0.5000 x2  4 Re 2.65, 4 Si 2.65
3 Si 0.5000 0.5000 0.0000 x1  8 Re 2.65

---

Below is crystalline Re2Si at its relaxed geometry, with properties calculated at the PBE level.

Excess energy over the best structure of this formula in the dataset, meV per atom: 0.0
Mass density, g/cm³: 15.8
Raw formation energy, eV per atom: -0.256
Raw total energy, eV for the cell shown: -124.3

Cell: 10.3645 2.9057 5.7554 Å, 90.00 103.58 90.00°
With the nearest neighbours (Å) after each atom.
Space group C2/m (No. 12)
Symmetry-distinct sites (fractional):
1 Re 0.0304 0.0000 0.2792 x4  4 Si 2.49-2.73, 3 Re 2.73-2.76
2 Re 0.1865 0.5000 0.6385 x4  3 Si 2.46-2.62, 4 Re 2.71-2.73
3 Si 0.1494 0.5000 0.0453 x4  7 Re 2.46-2.73, 2 Si 2.69

---

Below is crystalline Re2Si at its relaxed geometry, with properties calculated at the PBE level.

Excess energy over the best structure of this formula in the dataset, meV per atom: 219.1
Mass density, g/cm³: 15.5
Raw formation energy, eV per atom: -0.037
Raw total energy, eV for the cell shown: -121.7

Cell: 5.8017 4.1105 7.2042 Å, 90.00 90.00 90.00°
With the nearest neighbours (Å) after each atom.
Space group Pnma (No. 62)
Symmetry-distinct sites (fractional):
1 Re 0.0019 0.2500 0.1842 x4  3 Si 2.49-2.51, 1 Re 2.72
2 Re 0.1392 0.2500 0.5554 x4  4 Si 2.43-2.52
3 Si 0.2250 0.2500 0.8850 x4  7 Re 2.43-2.52

---

Below is crystalline ReSi3 at its relaxed geometry, with properties calculated at the PBE level.

Mass density, g/cm³: 8.3
Raw formation energy, eV per atom: 0.174
Raw total energy, eV for the cell shown: -56.0

Cell: 3.2250 4.3904 7.6519 Å, 90.00 90.00 90.00°
With the nearest neighbours (Å) after each atom.
Space group Immm (No. 71)
Symmetry-distinct sites (fractional):
1 Re 0.0000 0.0000 0.0000 x2  12 Si 2.61-2.82
2 Si 0.0000 0.0000 0.5000 x2  4 Si 2.39
3 Si 0.0000 0.5000 0.2314 x4  2 Si 2.39, 2 Re 2.61

---

Below is crystalline Re3Si at its relaxed geometry, with properties calculated at the PBE level.

Excess energy over the best structure of this formula in the dataset, meV per atom: 438.1
Mass density, g/cm³: 16.8
Raw formation energy, eV per atom: 0.336
Raw total energy, eV for the cell shown: -41.4

Cell: 3.8674 3.8674 3.8674 Å, 90.00 90.00 90.00°
With the nearest neighbours (Å) after each atom.
Space group Pm-3m (No. 221)
Symmetry-distinct sites (fractional):
1 Re 0.0000 0.0000 0.5000 x3  8 Re 2.73, 4 Si 2.73
2 Si 0.5000 0.5000 0.5000 x1  12 Re 2.73

---

Below is crystalline ReSi3 at its relaxed geometry, with properties calculated at the PBE level.

Mass density, g/cm³: 7.6
Raw formation energy, eV per atom: 0.111
Raw total energy, eV for the cell shown: -113.1

Cell: 5.1051 11.1856 4.1309 Å, 90.00 90.00 90.00°
With the nearest neighbours (Å) after each atom.
Space group Cmcm (No. 63)
Symmetry-distinct sites (fractional):
1 Re 0.0000 0.1062 0.2500 x4  8 Si 2.50-2.74
2 Si 0.0000 0.2668 0.7500 x4  2 Si 2.53, 2 Re 2.74
3 Si 0.2243 0.4215 0.2500 x8  2 Si 2.29-2.53, 3 Re 2.50-2.52

---

Below is crystalline ReSi2 at its relaxed geometry, with properties calculated at the PBE level.

Mass density, g/cm³: 9.6
Raw formation energy, eV per atom: 0.466
Raw total energy, eV for the cell shown: -43.8

Cell: 4.3651 4.3651 5.0610 Å, 90.00 90.00 120.00°
With the nearest neighbours (Å) after each atom.
Space group P6_3/mmc (No. 194)
Symmetry-distinct sites (fractional):
1 Re 0.3333 0.6667 0.2500 x2  11 Si 2.52-2.82
2 Si 0.0000 0.0000 0.0000 x2  8 Si 2.53-2.82, 6 Re 2.82
3 Si 0.3333 0.6667 0.7500 x2  5 Re 2.52-2.53, 6 Si 2.82

---

Below is crystalline Re2Si at its relaxed geometry, with properties calculated at the PBE level.

Excess energy over the best structure of this formula in the dataset, meV per atom: 269.0
Mass density, g/cm³: 15.3
Raw formation energy, eV per atom: 0.013
Raw total energy, eV for the cell shown: -121.1

Cell: 5.2324 8.4821 4.2499 Å, 90.00 112.80 90.00°
With the nearest neighbours (Å) after each atom.
Space group C2/c (No. 15)
Symmetry-distinct sites (fractional):
1 Re 0.1989 0.1056 0.1010 x8  4 Si 2.54-2.61, 5 Re 2.63-2.82
2 Si 0.0000 0.3603 0.2500 x4  8 Re 2.54-2.61